! Zr2Ni9Sn GGA-PBE optimized geometry; values from VASP
&SYSTEM
  ibrav = 0, nat = 12, ntyp = 3
/
ATOMIC_SPECIES
Zr 91.22 Zr.upf
Ni 58.69 Ni.upf
Sn 118.71 Sn.upf
ATOMIC_POSITIONS angstrom
Zr 7.259 4.191 3.281
Zr 2.420 1.397 4.718
Ni 4.839 2.794 0.006
Ni 4.839 2.794 7.993
Ni 4.839 2.794 3.999
Ni 3.615 2.087 2.057
Ni 6.063 2.087 2.057
Ni 4.839 4.207 2.057
Ni 6.063 3.501 5.942
Ni 4.839 1.381 5.942
Ni 3.615 3.501 5.942
Sn 0.000 0.000 0.000
CELL_PARAMETERS angstrom
4.839 0.000 0.000
2.420 4.191 0.000
2.420 1.397 7.999
! **Energy relative to the elements**: -273 meV/atom
! **Energy**: -6.3676 eV per atom
! **Symmetry**: R-3m, No. 166